Compound: NaMoOF2
Source: Alexandria via LeMat-Bulk
Functional: GGA+U
Structure: relaxed

abc: 4.246 4.246 4.174
angles: 90.00 90.00 90.00
Last column: magnetic moment on the atom in μB.
Atoms (fractional coordinates):
Na 0.500 0.500 0.500  0.00
O 0.000 0.000 0.500  0.12
F 0.500 0.000 0.000  0.03
F 0.000 0.500 0.000  0.03
Mo 0.000 0.000 0.000  2.69

Properties
Symmetry: P4/mmm (123)
Energy above the lowest structure with this stoichiometry: 0.0 meV per atom
D(E_F): 0.00 states/eV/f.u.
V: 15.1 A^3/atom